Entry 1:
Density functional theory data (GGA-PBE) for an optimized crystal structure of BeTlFe2.

The structure belongs to space group C2/m (No. 12); the cell edges are 6.684, 3.857 and 5.076 Å and the angles 90.00°, 116.13° and 90.00°. Symmetry generates all atoms from Be at (0.000, 0.000, 0.000), Tl at (0.000, 0.500, 0.500) and Fe at (0.202, 0.500, 0.104).

For the density of states at the Fermi level, the calculation gives 5.1 states/eV/cell. As for the formation enthalpy at 0 K: 368 meV per atom. As for the raw total energy: -5.386 eV/atom.

=====

Entry 2:
Density functional theory data (GGA-PBE) for an optimized crystal structure of BeTlFe2.

The structure belongs to space group I-4m2 (No. 119); the cell edges are 3.823, 3.823 and 7.541 Å and the angles 90.00°, 90.00° and 90.00°. Symmetry generates all atoms from Be at (0.000, 0.000, 0.000), Tl at (0.000, 0.500, 0.250), Fe at (0.000, 0.000, 0.500) and Fe at (0.000, 0.500, 0.750).

For the density of states at the Fermi level, the calculation gives 5.3 states/eV/cell. As for the formation enthalpy at 0 K: 495 meV per atom. As for the raw total energy: -5.260 eV/atom.

=====

Entry 3:
Density functional theory data (GGA-PBE) for an optimized crystal structure of BeTl2Fe.

The structure belongs to space group P4/mmm (No. 123); the cell edges are 3.042, 3.042 and 8.098 Å and the angles 90.00°, 90.00° and 90.00°. Symmetry generates all atoms from Be at (0.000, 0.000, 0.000), Tl at (0.500, 0.500, 0.243) and Fe at (0.000, 0.000, 0.500).

For the density of states at the Fermi level, the calculation gives 3.0 states/eV/cell. As for the formation enthalpy at 0 K: 824 meV per atom. As for the raw total energy: -3.406 eV/atom. The energy above the most stable polymorph in this dataset comes out at 0.384 eV per atom.